This record from Alexandria via LeMat-Bulk describes a relaxed structure of LiInAsRh. The functional is PBE.

Structure (POSCAR):
```
LiInAsRh
1.0
0.000 3.201 3.201
3.201 0.000 3.201
3.201 3.201 0.000
Li In As Rh
1 1 1 1
Direct
0.000 0.000 0.000
0.750 0.750 0.750
0.250 0.250 0.250
0.500 0.500 0.500
```

Total magnetization, μB per atom: 0.0000
Calculated total energy, hartree per atom: -0.165
Energy relative to the elements, eV/atom: -0.328
Mass density, g cm⁻³: 7.58